[1]
A plane-wave DFT calculation with PBE was carried out for crystalline CaZr2Cu at its relaxed geometry.

abc: 5.6506 5.6506 6.0669
angles: 116.10 116.10 32.30
With the nearest neighbours (Å) after each atom.
Element x y z (fractional)
Ca 0.0000 0.0000 0.0000  3 Cu 2.90-2.99, 2 Ca 3.14
Zr 0.1835 0.1835 0.6123  2 Cu 2.81, 5 Zr 3.07-3.14
Zr 0.4117 0.4117 0.4370  2 Cu 2.83, 5 Zr 3.07-3.14
Cu 0.7315 0.7315 0.0273  4 Zr 2.81-2.83, 3 Ca 2.90-2.99, 2 Cu 3.14

Computed properties:
Space-group type = Cm, No. 8
E_tot = -5.633 eV per atom
Formation energy = 0.166 eV per atom

=====

[2]
A plane-wave DFT calculation with PBE was carried out for crystalline BeTlCo2Cl at its relaxed geometry.

abc: 4.0866 4.0866 6.0636
angles: 90.00 90.00 90.00
With the nearest neighbours (Å) after each atom.
Element x y z (fractional)
Be 0.0000 0.0000 0.0000  4 Tl 2.89
Tl 0.5000 0.5000 0.0000  4 Be 2.89, 2 Cl 3.03
Co 0.0000 0.5000 0.5000  2 Cl 2.04
Co 0.5000 0.0000 0.5000  2 Cl 2.04
Cl 0.5000 0.5000 0.5000  4 Co 2.04

Computed properties:
Space-group type = P4/mmm, No. 123
Raw formation energy = 1058 meV/atom
E_tot = -3.372 eV per atom

=====

[3]
A plane-wave DFT calculation with PBE was carried out for crystalline Tb2AgPt at its relaxed geometry.

abc: 3.5741 3.5741 7.1842
angles: 90.00 90.00 90.00
With the nearest neighbours (Å) after each atom.
Element x y z (fractional)
Tb 0.0000 0.0000 0.2351  4 Pt 3.04, 4 Ag 3.16, 1 Tb 3.38
Tb 0.0000 0.0000 0.7649  4 Pt 3.04, 4 Ag 3.16, 1 Tb 3.38
Ag 0.5000 0.5000 0.5000  8 Tb 3.16
Pt 0.5000 0.5000 0.0000  8 Tb 3.04

Computed properties:
Space-group type = P4/mmm, No. 123
E_tot = -5.310 eV per atom
Formation energy = -0.772 eV per atom

=====

[4]
A plane-wave DFT calculation with PBE was carried out for crystalline Ba2PuPaN4 at its relaxed geometry.

abc: 6.3344 3.6219 6.7458
angles: 90.00 108.72 90.00
With the nearest neighbours (Å) after each atom.
Element x y z (fractional)
Ba 0.0000 0.0000 0.0000  6 N 2.97-3.00
Ba 0.5000 0.5000 0.0000  6 N 2.91-2.96
Pu 0.0000 0.5000 0.5000  6 N 2.36-2.47
Pa 0.5000 0.0000 0.5000  6 N 2.34-2.37
N 0.2251 0.0000 0.6702  2 Pu 2.36, 1 Pa 2.37
N 0.2869 0.5000 0.3240  2 Pa 2.34, 1 Pu 2.47
N 0.7131 0.5000 0.6760  2 Pa 2.34, 1 Pu 2.47
N 0.7749 0.0000 0.3298  2 Pu 2.36, 1 Pa 2.37

Computed properties:
Space-group type = P2/m, No. 10
Raw formation energy = -1097 meV/atom
E_tot = -8.719 eV per atom

=====

[5]
A plane-wave DFT calculation with PBE was carried out for crystalline Li5DyAg6 at its relaxed geometry.

abc: 7.2690 7.2690 6.7349
angles: 90.00 90.00 143.07
With the nearest neighbours (Å) after each atom.
Element x y z (fractional)
Li 0.0000 0.0000 0.0000  8 Ag 2.75-2.86
Li 0.3268 0.6732 0.5000  8 Ag 2.78-3.02
Li 0.3394 0.6606 0.0000  8 Ag 2.68-2.78
Li 0.6606 0.3394 0.0000  8 Ag 2.68-2.78
Li 0.6732 0.3268 0.5000  8 Ag 2.78-3.02
Dy 0.0000 0.0000 0.5000  8 Ag 2.96-3.01
Ag 0.1744 0.8256 0.2301  7 Li 2.75-2.93, 1 Dy 3.01
Ag 0.1744 0.8256 0.7699  7 Li 2.75-2.93, 1 Dy 3.01
Ag 0.5000 0.5000 0.2244  4 Li 2.68-2.75, 2 Dy 2.96
Ag 0.5000 0.5000 0.7756  4 Li 2.68-2.75, 2 Dy 2.96
Ag 0.8256 0.1744 0.2301  7 Li 2.75-2.93, 1 Dy 3.01
Ag 0.8256 0.1744 0.7699  7 Li 2.75-2.93, 1 Dy 3.01

Computed properties:
Space-group type = Cmmm, No. 65
E_tot = -2.801 eV per atom
Formation energy = -0.194 eV per atom

=====

[6]
A plane-wave DFT calculation with PBE was carried out for crystalline SmLuFeCu at its relaxed geometry.

abc: 4.7917 4.7917 4.7917
angles: 60.00 60.00 60.00
With the nearest neighbours (Å) after each atom.
Element x y z (fractional)
Sm 0.0000 0.0000 0.0000  4 Fe 2.93, 4 Cu 2.93
Lu 0.5000 0.5000 0.5000  4 Fe 2.93, 4 Cu 2.93
Fe 0.2500 0.2500 0.2500  4 Sm 2.93, 4 Lu 2.93
Cu 0.7500 0.7500 0.7500  4 Sm 2.93, 4 Lu 2.93

Computed properties:
Space-group type = F-43m, No. 216
E_tot = -5.448 eV per atom
Formation energy = 0.001 eV per atom